A plane-wave DFT calculation with PBE was carried out for a relaxed Na2InOsO6 crystal.

Results
space-group type: P2_1/c (14)
uncorrected formation energy: -13.3 eV per formula unit
calculated volume: 245 Å³/cell
final energy: -119.3 eV per cell

Cell lengths 5.514, 5.634, 7.882 Å; angles 90.00, 90.22, 90.00 degrees
Each line ends with the local moment (μB).
Fractional coordinates of all 20 atoms:
Na (0.010, 0.957, 0.251)  0.00
Na (0.510, 0.543, 0.751)  0.00
Na (0.990, 0.043, 0.749)  0.00
Na (0.490, 0.457, 0.249)  0.00
In (0.500, 0.000, 0.000)  0.02
In (0.000, 0.500, 0.500)  0.02
Os (0.500, 0.000, 0.500)  0.68
Os (0.000, 0.500, 0.000)  0.68
O (0.279, 0.688, 0.045)  0.04
O (0.779, 0.812, 0.545)  0.04
O (0.721, 0.312, 0.955)  0.04
O (0.221, 0.188, 0.455)  0.04
O (0.317, 0.721, 0.449)  0.03
O (0.817, 0.779, 0.949)  0.03
O (0.683, 0.279, 0.551)  0.03
O (0.183, 0.221, 0.051)  0.03
O (0.908, 0.528, 0.232)  0.04
O (0.408, 0.972, 0.732)  0.04
O (0.092, 0.472, 0.768)  0.04
O (0.592, 0.028, 0.268)  0.04

---

A plane-wave DFT calculation with PBE was carried out for a relaxed PrSb2Pd crystal.

Results
space-group type: P4/nmm (129)
uncorrected formation energy: -3.4 eV per formula unit
calculated volume: 203 Å³/cell
final energy: -43.2 eV per cell
energy relative to the lowest polymorph listed for this composition: 0.000 eV per atom

Cell lengths 4.523, 4.523, 9.940 Å; angles 90.00, 90.00, 90.00 degrees
Fractional coordinates of all 8 atoms:
Pr (0.000, 0.500, 0.752)
Pr (0.500, 0.000, 0.248)
Sb (0.000, 0.500, 0.151)
Sb (0.500, 0.000, 0.849)
Sb (0.000, 0.000, 0.500)
Sb (0.500, 0.500, 0.500)
Pd (0.000, 0.000, 0.000)
Pd (0.500, 0.500, 0.000)

---

A plane-wave DFT calculation with PBE was carried out for a relaxed AlZnAu crystal.

Results
space-group type: F-43m (216)
calculated volume: 56 Å³/cell
final energy: -9.1 eV per cell
formation energy from the elements: -0.26 eV per atom

Cell lengths 4.300, 4.300, 4.300 Å; angles 60.00, 60.00, 60.00 degrees
Fractional coordinates of all 3 atoms:
Zn (0.000, 0.000, 0.000)
Au (0.250, 0.250, 0.250)
Al (0.500, 0.500, 0.500)

---

A plane-wave DFT calculation with PBE was carried out for a relaxed Er12Zn6In crystal.

Results
space-group type: Im-3 (204)
calculated volume: 487 Å³/cell
final energy: -69.2 eV per cell
formation energy from the elements: -0.22 eV per atom

Cell lengths 8.586, 8.586, 8.586 Å; angles 109.47, 109.47, 109.47 degrees
Fractional coordinates of all 19 atoms:
Er (0.289, 0.096, 0.808)
Er (0.289, 0.481, 0.192)
Er (0.711, 0.519, 0.808)
Er (0.711, 0.904, 0.192)
Er (0.096, 0.808, 0.289)
Er (0.481, 0.192, 0.289)
Er (0.519, 0.808, 0.711)
Er (0.904, 0.192, 0.711)
Er (0.808, 0.289, 0.096)
Er (0.192, 0.289, 0.481)
Er (0.808, 0.711, 0.519)
Er (0.192, 0.711, 0.904)
Zn (0.376, 0.500, 0.876)
Zn (0.624, 0.500, 0.124)
Zn (0.500, 0.876, 0.376)
Zn (0.500, 0.124, 0.624)
Zn (0.876, 0.376, 0.500)
Zn (0.124, 0.624, 0.500)
In (0.000, 0.000, 0.000)